Compound: TmSc2InAu4
Source: Alexandria via LeMat-Bulk
Functional: PBE
Structure: optimized geometry

V (A^3/atom): 20.503
Total magnetization (μB/cell): 0.0
ΔE_f (eV/atom): -0.738
Uncorrected energy (eV per atom): -4.8604

Cell: 4.855 4.855 8.511 Å, 73.43 73.43 60.00°
Element x y z (fractional)
Au: 0.120 0.120 0.640
Au: 0.369 0.369 0.893
Au: 0.880 0.880 0.360
Au: 0.631 0.631 0.107
Sc: 0.756 0.756 0.733
Sc: 0.244 0.244 0.267
Tm: 0.000 0.000 0.000
In: 0.500 0.500 0.500

***

Compound: Sc2ZnInAu4
Source: Alexandria via LeMat-Bulk
Functional: PBE
Structure: optimized geometry

V (A^3/atom): 18.761
Total magnetization (μB/cell): 0.0
ΔE_f (eV/atom): -0.615
Uncorrected energy (eV per atom): -4.3382

Cell: 4.739 4.739 8.188 Å, 73.18 73.18 60.00°
Element x y z (fractional)
In: 0.000 0.000 0.000
Zn: 0.500 0.500 0.500
Sc: 0.250 0.250 0.249
Sc: 0.750 0.750 0.751
Au: 0.871 0.871 0.386
Au: 0.620 0.620 0.140
Au: 0.380 0.380 0.860
Au: 0.129 0.129 0.614

***

Compound: Sc3Zn2In2Au4
Source: Alexandria via LeMat-Bulk
Functional: PBE
Structure: optimized geometry

V (A^3/atom): 20.443
Total magnetization (μB/cell): 0.0
ΔE_f (eV/atom): -0.530
Uncorrected energy (eV per atom): -4.1781

Cell: 4.510 4.510 12.768 Å, 90.00 90.00 120.00°
Element x y z (fractional)
In: 0.667 0.333 0.427
In: 0.333 0.667 0.573
Au: 0.667 0.333 0.655
Au: 0.667 0.333 0.117
Au: 0.333 0.667 0.345
Au: 0.333 0.667 0.883
Sc: 0.000 0.000 0.247
Sc: 0.000 0.000 0.000
Sc: 0.000 0.000 0.753
Zn: 0.333 0.667 0.128
Zn: 0.667 0.333 0.872